KTaNbSe3 | PBE | optimized geometry

abc: 3.636 8.730 10.244
angles: 115.03 90.00 90.00
Fractional positions:
Se 0.750 0.892 0.128
Se 0.250 0.108 0.872
K 0.250 0.244 0.258
Ta 0.250 0.698 0.171
Ta 0.750 0.302 0.829
K 0.750 0.756 0.742
Nb 0.250 0.088 0.608
Nb 0.750 0.912 0.392
Se 0.750 0.261 0.544
Se 0.750 0.455 0.122
Se 0.250 0.545 0.878
Se 0.250 0.739 0.456

Calculated values
V: 147.3 Å³/f.u.
SG: P2_1/m
Electronic total energy: -6.454 eV/atom
DOS(E_F): 1.836 states/eV/f.u.
Formation energy (no corrections): -0.88 eV/atom

***

LaPr3Rh | PBE | optimized geometry

abc: 6.076 7.953 7.954
angles: 120.00 90.00 90.01
Fractional positions:
La 0.250 0.333 0.667
Pr 0.750 0.178 0.822
Pr 0.250 0.355 0.178
Pr 0.250 0.822 0.645
Rh 0.500 0.000 0.000
Pr 0.250 0.822 0.178
Pr 0.750 0.178 0.355
Rh 0.000 0.000 0.000
La 0.750 0.667 0.333
Pr 0.750 0.645 0.822

Calculated values
V: 166.4 Å³/f.u.
SG: P6_3/mmc
Electronic total energy: -5.553 eV/atom
Excess energy over the best structure of this formula in the dataset: 22 meV/atom
ΔH_f (0 K): -230 meV/atom
DOS(E_F): 5.139 states/eV/f.u.

***

ZrPb2Se | PBE | optimized geometry

abc: 6.815 6.815 8.095
angles: 65.10 65.10 90.00
Fractional positions:
Pb 0.619 0.125 0.250
Pb 0.131 0.625 0.250
Pb 0.875 0.869 0.750
Pb 0.375 0.381 0.750
Se 0.250 0.750 0.500
Zr 0.750 0.250 0.500
Se 0.500 0.500 0.000
Zr 0.000 0.000 0.000

Calculated values
V: 151.0 Å³/f.u.
SG: I-42d
Electronic total energy: -4.340 eV/atom
DOS(E_F): 0.860 states/eV/f.u.
Formation energy (no corrections): 0.52 eV/atom

***

Li3Er2Tl4 | PBE | optimized geometry

abc: 6.437 7.965 8.681
angles: 90.00 111.76 90.00
Fractional positions:
Li 0.478 0.250 0.457
Tl 0.302 0.250 0.104
Li 0.978 0.250 0.457
Tl 0.175 0.966 0.349
Tl 0.325 0.466 0.651
Tl 0.698 0.750 0.896
Li 0.022 0.750 0.543
Tl 0.198 0.750 0.896
Er 0.609 0.917 0.217
Tl 0.825 0.034 0.651
Tl 0.802 0.250 0.104
Li 0.500 0.500 0.000
Li 0.000 0.000 0.000
Er 0.109 0.583 0.217
Tl 0.675 0.534 0.349
Li 0.522 0.750 0.543
Er 0.391 0.083 0.783
Er 0.891 0.417 0.783

Calculated values
V: 206.7 Å³/f.u.
SG: Cmce
Electronic total energy: -2.929 eV/atom
Excess energy over the best structure of this formula in the dataset: 16 meV/atom
ΔH_f (0 K): -225 meV/atom
DOS(E_F): 5.146 states/eV/f.u.

***

Hf3Ga3Au2 | PBE | optimized geometry

abc: 4.141 5.614 13.665
angles: 90.00 90.00 111.64
Fractional positions:
Au 0.222 0.445 0.102
Hf 0.066 0.132 0.621
Ga 0.396 0.792 0.958
Ga 0.396 0.792 0.542
Hf 0.934 0.868 0.121
Hf 0.653 0.307 0.250
Ga 0.381 0.761 0.250
Au 0.222 0.445 0.398
Au 0.778 0.555 0.898
Ga 0.619 0.239 0.750
Hf 0.347 0.693 0.750
Au 0.778 0.555 0.602
Ga 0.604 0.208 0.458
Ga 0.604 0.208 0.042
Hf 0.934 0.868 0.379
Hf 0.066 0.132 0.879

Calculated values
V: 147.7 Å³/f.u.
SG: Cmcm
Electronic total energy: -6.169 eV/atom
ΔH_f (0 K): -482 meV/atom
DOS(E_F): 4.125 states/eV/f.u.

***

PrEuGdDy | PBE | optimized geometry

abc: 5.813 5.813 5.813
angles: 60.00 60.00 60.00
Fractional positions:
Dy 0.250 0.250 0.250
Eu 0.500 0.500 0.500
Gd 0.000 0.000 0.000
Pr 0.750 0.750 0.750

Calculated values
V: 138.9 Å³/f.u.
SG: F-43m
Electronic total energy: -8.306 eV/atom
ΔH_f (0 K): 128 meV/atom
DOS(E_F): 6.278 states/eV/f.u.

***

- DOS(E_F) of number 6 (PrEuGdDy)?
  6.278 states/eV/f.u.